No. 1
La2ErNpO8 PBE optimized geometry; ΔE_f (raw) = -3170.0 meV/atom; size of the total moment = 0.00 μB per cell; SG = P2/m
1.0
3.990 0.000 0.000
0.000 7.572 0.000
-0.480 0.000 5.599
La Er Np O
2 1 1 8
direct
0.000 0.243 0.000
0.000 0.757 0.000
0.500 0.000 0.500
0.500 0.500 0.500
0.019 0.000 0.257
0.062 0.500 0.287
0.462 0.279 0.723
0.462 0.721 0.723
0.538 0.279 0.277
0.538 0.721 0.277
0.938 0.500 0.713
0.981 0.000 0.743


No. 2
Cs3InRu PBE optimized geometry; N(E_F) = 6.87 states/eV/f.u.; size of the total moment = 0.32 μB per cell; E above lowest polymorph = 0 meV/atom; energy relative to the elements = 0.92 eV per atom; SG = Pm-3m
1.0
6.055 0.000 0.000
0.000 6.055 0.000
0.000 0.000 6.055
Cs In Ru
3 1 1
direct
0.000 0.000 0.500
0.000 0.500 0.000
0.500 0.000 0.000
0.500 0.500 0.500
0.000 0.000 0.000


No. 3
CoRe2Tc PBE optimized geometry; N(E_F) = 5.75 states/eV/f.u.; size of the total moment = 0.00 μB per cell; E above lowest polymorph = 706 meV/atom; energy relative to the elements = 0.73 eV per atom; SG = I-42d
1.0
-1.883 1.883 8.634
1.883 -1.883 8.634
1.883 1.883 -8.634
Co Re Tc
2 4 2
direct
0.000 0.000 0.000
0.750 0.250 0.500
0.090 0.625 0.965
0.375 0.340 0.465
0.660 0.125 0.035
0.875 0.910 0.535
0.250 0.750 0.500
0.500 0.500 0.000


No. 4
SrPt2 PBE optimized geometry; N(E_F) = 1.22 states/eV/f.u.; size of the total moment = 0.00 μB per cell; energy relative to the elements = -0.52 eV per atom; SG = P4/mmm
1.0
3.818 0.000 0.000
0.000 3.818 0.000
0.000 0.000 4.947
Sr Pt
1 2
direct
0.000 0.000 0.000
0.000 0.500 0.500
0.500 0.000 0.500